Pm2Zn3Pt12Rh: optimized geometry, PBE-GGA.

Lattice parameters (Å, degrees): 9.4037 9.4037 9.4037 42.96 42.96 42.96
Last column: nearest neighbours and their distance in Å.
Element x y z (fractional)
Pm  0.6545  0.6545  0.6545  6 Pt 2.89-3.16
Pm  0.3455  0.3455  0.3455  6 Pt 2.89-3.16
Zn  0.5000  0.0000  0.0000  6 Pt 2.53-2.59
Zn  0.0000  0.5000  0.0000  6 Pt 2.53-2.59
Zn  0.0000  0.0000  0.5000  6 Pt 2.53-2.59
Pt  0.4154  0.4154  0.8118  2 Zn 2.53, 4 Pt 2.65-2.73
Pt  0.9084  0.9084  0.3797  1 Rh 2.51, 1 Zn 2.59, 2 Pt 2.65
Pt  0.3797  0.9084  0.9084  1 Rh 2.51, 1 Zn 2.59, 2 Pt 2.65
Pt  0.8118  0.4154  0.4154  2 Zn 2.53, 4 Pt 2.65-2.73
Pt  0.9084  0.3797  0.9084  1 Rh 2.51, 1 Zn 2.59, 2 Pt 2.65
Pt  0.4154  0.8118  0.4154  2 Zn 2.53, 4 Pt 2.65-2.73
Pt  0.5846  0.5846  0.1882  2 Zn 2.53, 4 Pt 2.65-2.73
Pt  0.0916  0.0916  0.6203  1 Rh 2.51, 1 Zn 2.59, 2 Pt 2.65
Pt  0.6203  0.0916  0.0916  1 Rh 2.51, 1 Zn 2.59, 2 Pt 2.65
Pt  0.1882  0.5846  0.5846  2 Zn 2.53, 4 Pt 2.65-2.73
Pt  0.0916  0.6203  0.0916  1 Rh 2.51, 1 Zn 2.59, 2 Pt 2.65
Pt  0.5846  0.1882  0.5846  2 Zn 2.53, 4 Pt 2.65-2.73
Rh  0.0000  0.0000  0.0000  6 Pt 2.51

Values from the calculation:
Formation energy ... -0.241 eV per atom
DFT total energy ... -5.416 eV/atom
Space-group type ... R-3m
Crystal system ... trigonal